# 1
{"formula": "Ti3CuAs", "functional": "PBE-GGA", "state": "relaxed", "ef_mev_per_atom": 345, "cell": [[4.6609, 0.0000, 0.0000], [0.0000, 4.6609, 0.0000], [0.0000, 0.0000, 4.6609]], "species": ["Ti", "Ti", "Ti", "Cu", "As"], "frac_coords": [[0.0000, 0.0000, 0.5000], [0.0000, 0.5000, 0.0000], [0.5000, 0.0000, 0.0000], [0.5000, 0.5000, 0.5000], [0.0000, 0.0000, 0.0000]]}



# 2
{"formula": "K2SrCr", "functional": "PBE-GGA", "state": "relaxed", "de_polymorph_ev_per_atom": 0.1015, "ef_mev_per_atom": 637, "cell": [[5.2984, 0.0000, 0.0000], [0.0000, 5.2984, 0.0000], [0.0000, 0.0000, 6.5940]], "species": ["K", "K", "Sr", "Cr"], "frac_coords": [[0.0000, 0.5000, 0.0000], [0.5000, 0.0000, 0.0000], [0.0000, 0.0000, 0.5000], [0.5000, 0.5000, 0.5000]]}



# 3
{"formula": "Tl2Cd", "functional": "PBE-GGA", "state": "relaxed", "de_polymorph_ev_per_atom": 0.0087, "ef_mev_per_atom": 40, "cell": [[2.3983, -7.3180, 0.0000], [2.3983, 7.3180, 0.0000], [0.0000, 0.0000, 4.8604]], "species": ["Tl", "Tl", "Tl", "Tl", "Cd", "Cd"], "frac_coords": [[0.0803, 0.9197, 0.7500], [0.2486, 0.7514, 0.2500], [0.7514, 0.2486, 0.7500], [0.9197, 0.0803, 0.2500], [0.4199, 0.5801, 0.7500], [0.5801, 0.4199, 0.2500]]}



# 4
{"formula": "AgTeRh2", "functional": "PBE-GGA", "state": "relaxed", "e_form_raw_ev_per_atom": 0.33, "cell": [[1.5230, 0.8793, 9.1857], [-1.5230, 0.8793, 9.1857], [0.0000, -1.7587, 9.1857]], "species": ["Ag", "Te", "Rh", "Rh"], "frac_coords": [[0.0000, 0.0000, 0.0000], [0.2316, 0.2316, 0.2316], [0.4892, 0.4892, 0.4892], [0.7480, 0.7480, 0.7480]]}



# 5
{"formula": "Cs3Ho2ZrSe6", "functional": "PBE-GGA", "state": "relaxed", "e_form_raw_ev_per_atom": -1.55, "cell": [[3.5990, -6.2331, 0.0000], [3.5990, 6.2331, 0.0000], [-2.4016, 0.0000, 8.3841]], "species": ["Cs", "Cs", "Cs", "Ho", "Ho", "Zr", "Se", "Se", "Se", "Se", "Se", "Se"], "frac_coords": [[0.0000, 0.0000, 0.0000], [0.3308, 0.6692, 0.0000], [0.6692, 0.3308, 0.0000], [0.1664, 0.8336, 0.5000], [0.8336, 0.1664, 0.5000], [0.5000, 0.5000, 0.5000], [0.1162, 0.4386, 0.3157], [0.2396, 0.2396, 0.6855], [0.4386, 0.1162, 0.3157], [0.5614, 0.8838, 0.6843], [0.7604, 0.7604, 0.3145], [0.8838, 0.5614, 0.6843]]}



# 6
{"formula": "AcBiAs2", "functional": "PBE-GGA", "state": "relaxed", "de_polymorph_ev_per_atom": 0.1026, "ef_mev_per_atom": -616, "cell": [[5.1362, 0.0000, 0.0000], [0.0000, 5.1362, 0.0000], [0.0000, 0.0000, 4.0832]], "species": ["Ac", "Bi", "As", "As"], "frac_coords": [[0.0000, 0.0000, 0.0000], [0.5000, 0.5000, 0.0000], [0.0000, 0.5000, 0.5000], [0.5000, 0.0000, 0.5000]]}



# 7
{"formula": "KTmSe4", "functional": "PBE-GGA", "state": "relaxed", "e_form_raw_ev_per_atom": -1.14, "cell": [[6.2302, 0.0000, 0.0000], [0.0000, 6.2302, 0.0000], [0.0000, 0.0000, 8.3674]], "species": ["K", "K", "Tm", "Tm", "Se", "Se", "Se", "Se", "Se", "Se", "Se", "Se"], "frac_coords": [[0.2500, 0.2500, 0.0000], [0.7500, 0.7500, 0.0000], [0.2500, 0.2500, 0.5000], [0.7500, 0.7500, 0.5000], [0.1116, 0.6116, 0.2963], [0.1116, 0.8884, 0.7037], [0.3884, 0.6116, 0.7037], [0.3884, 0.8884, 0.2963], [0.6116, 0.1116, 0.7037], [0.6116, 0.3884, 0.2963], [0.8884, 0.1116, 0.2963], [0.8884, 0.3884, 0.7037]]}